No. 1
# Tl2AgSn3, optimized geometry, DFT PBE
# - magnetization (μB per cell) = 0.0
# - energy relative to the elements (eV/atom) = 0.06
# - E (eV/f.u.) = -19.21
data_Tl2AgSn3
_space_group_name_H-M_alt 'C 1 2/m 1'
_space_group_IT_number 12
_space_group_name_Hall '-C 2y'
_cell_length_a 5.863
_cell_length_b 10.170
_cell_length_c 11.039
_cell_angle_alpha 90.00
_cell_angle_beta 100.06
_cell_angle_gamma 90.00
loop_
_atom_site_label
_atom_site_type_symbol
_atom_site_fract_x
_atom_site_fract_y
_atom_site_fract_z
Tl1 Tl 0.000 0.000 0.000
Tl2 Tl 0.000 0.165 0.500
Tl3 Tl 0.000 0.500 0.500
Ag1 Ag 0.000 0.332 0.000
Sn1 Sn 0.219 0.500 0.225
Sn2 Sn 0.250 0.177 0.227

=====

No. 2
# TlAgSn3, optimized geometry, DFT PBE
# - magnetization (μB per cell) = 0.0
# - energy relative to the elements (eV/atom) = 0.06
# - polymorph energy (0 for the lowest one) (kJ/mol of formula units) = 0
# - E (eV/f.u.) = -16.90
data_TlAgSn3
_space_group_name_H-M_alt 'C 1 2/m 1'
_space_group_IT_number 12
_space_group_name_Hall '-C 2y'
_cell_length_a 16.959
_cell_length_b 4.750
_cell_length_c 6.950
_cell_angle_alpha 90.00
_cell_angle_beta 101.35
_cell_angle_gamma 90.00
loop_
_atom_site_label
_atom_site_type_symbol
_atom_site_fract_x
_atom_site_fract_y
_atom_site_fract_z
Tl1 Tl 0.079 0.000 0.381
Ag1 Ag 0.189 0.500 0.210
Sn1 Sn 0.048 0.500 0.827
Sn2 Sn 0.161 0.000 0.945
Sn3 Sn 0.207 0.500 0.634

=====

No. 3
# Tl2Ag2Sn, optimized geometry, DFT PBE
# - magnetization (μB per cell) = 0.0
# - energy relative to the elements (eV/atom) = 0.17
# - polymorph energy (0 for the lowest one) (kJ/mol of formula units) = 32
# - E (eV/f.u.) = -13.58
data_Tl2Ag2Sn
_space_group_name_H-M_alt 'I 4/m m m'
_space_group_IT_number 139
_space_group_name_Hall '-I 4 2'
_cell_length_a 3.893
_cell_length_b 3.893
_cell_length_c 17.245
_cell_angle_alpha 90.00
_cell_angle_beta 90.00
_cell_angle_gamma 90.00
loop_
_atom_site_label
_atom_site_type_symbol
_atom_site_fract_x
_atom_site_fract_y
_atom_site_fract_z
Tl1 Tl 0.000 0.000 0.109
Ag1 Ag 0.000 0.500 0.250
Sn1 Sn 0.000 0.000 0.500

=====

No. 4
# TlAgSn3, optimized geometry, DFT PBE
# - magnetization (μB per cell) = 0.0
# - energy relative to the elements (eV/atom) = 0.35
# - polymorph energy (0 for the lowest one) (kJ/mol of formula units) = 136
# - E (eV/f.u.) = -15.50
data_TlAgSn3
_space_group_name_H-M_alt 'P m -3 m'
_space_group_IT_number 221
_space_group_name_Hall '-P 4 2 3'
_cell_length_a 5.425
_cell_length_b 5.425
_cell_length_c 5.425
_cell_angle_alpha 90.00
_cell_angle_beta 90.00
_cell_angle_gamma 90.00
loop_
_atom_site_label
_atom_site_type_symbol
_atom_site_fract_x
_atom_site_fract_y
_atom_site_fract_z
Tl1 Tl 0.000 0.000 0.000
Ag1 Ag 0.500 0.500 0.500
Sn1 Sn 0.000 0.500 0.500

=====

No. 5
# Tl3AgSn2, optimized geometry, DFT PBE
# - magnetization (μB per cell) = 0.0
# - energy relative to the elements (eV/atom) = 0.06
# - E (eV/f.u.) = -17.62
data_Tl3AgSn2
_space_group_name_H-M_alt 'C m m m'
_space_group_IT_number 65
_space_group_name_Hall '-C 2 2'
_cell_length_a 5.555
_cell_length_b 17.628
_cell_length_c 3.404
_cell_angle_alpha 90.00
_cell_angle_beta 90.00
_cell_angle_gamma 90.00
loop_
_atom_site_label
_atom_site_type_symbol
_atom_site_fract_x
_atom_site_fract_y
_atom_site_fract_z
Tl1 Tl 0.000 0.000 0.000
Tl2 Tl 0.000 0.184 0.500
Ag1 Ag 0.000 0.500 0.500
Sn1 Sn 0.000 0.364 0.000

=====

No. 6
# TlAg2Sn, optimized geometry, DFT PBE
# - magnetization (μB per cell) = 0.0
# - energy relative to the elements (eV/atom) = 0.10
# - polymorph energy (0 for the lowest one) (kJ/mol of formula units) = 0
# - E (eV/f.u.) = -11.68
data_TlAg2Sn
_space_group_name_H-M_alt 'P 4/m m m'
_space_group_IT_number 123
_space_group_name_Hall '-P 4 2'
_cell_length_a 3.517
_cell_length_b 3.517
_cell_length_c 7.462
_cell_angle_alpha 90.00
_cell_angle_beta 90.00
_cell_angle_gamma 90.00
loop_
_atom_site_label
_atom_site_type_symbol
_atom_site_fract_x
_atom_site_fract_y
_atom_site_fract_z
Tl1 Tl 0.000 0.000 0.000
Ag1 Ag 0.500 0.500 0.268
Sn1 Sn 0.000 0.000 0.500